BeZnFeSi | PBE | relaxed

The structure in POSCAR format:
```
BeZnFeSi
1.0
0.000 2.799 2.799
2.799 0.000 2.799
2.799 2.799 0.000
Be Zn Fe Si
1 1 1 1
Cartesian
0.000 0.000 0.000
4.198 4.198 4.198
1.399 1.399 1.399
2.799 2.799 2.799
```

Properties
The value obtained for the energy above the most stable polymorph in this dataset is 0.000 eV/atom.

=====

BeZnFeSi | PBE | relaxed

The structure in POSCAR format:
```
BeZnFeSi
1.0
0.000 2.810 2.810
2.810 0.000 2.810
2.810 2.810 0.000
Be Zn Fe Si
1 1 1 1
Cartesian
0.000 0.000 0.000
4.214 4.214 4.214
2.810 2.810 2.810
1.405 1.405 1.405
```

Properties
The value obtained for the energy above the most stable polymorph in this dataset is 0.004 eV/atom.

=====

What is the energy above the most stable polymorph in this dataset in the first record? 0.000 eV/atom